First-principles (GGA-PBE) data for an optimized crystal structure of PrTm2OsO8, as listed in the Alexandria database.

Calculated values
The calculation puts the magnetic moment at 1.04 μB/f.u. For the uncorrected formation energy, the calculation gives -58.02 kcal/mol of atoms. Its space group is P2/m.

Cell lengths 5.037, 5.032, 6.852 Å; angles 90.00, 90.00, 89.22 degrees
Site moments in Bohr magnetons follow the coordinates.
Sites, in units of the cell vectors:
Pr (0.000, 0.000, 0.500)  0.01
Tm (0.500, 0.500, 0.747)  0.03
Tm (0.500, 0.500, 0.253)  0.03
Os (0.000, 0.000, 0.000)  0.69
O (0.188, 0.810, 0.202)  0.05
O (0.735, 0.737, 0.000)  0.00
O (0.812, 0.190, 0.202)  0.05
O (0.812, 0.190, 0.798)  0.05
O (0.265, 0.263, 0.000)  0.00
O (0.188, 0.810, 0.798)  0.05
O (0.679, 0.683, 0.500)  0.00
O (0.321, 0.317, 0.500)  0.00

First-principles (GGA-PBE) data for an optimized crystal structure of Pm3NdHoTh, as listed in the Alexandria database.

Calculated values
The calculation puts the magnetic moment at 0.00 μB/f.u. Its space group is P2_1/m.

Cell lengths 5.126, 8.109, 10.866 Å; angles 116.54, 90.00, 90.00 degrees
Sites, in units of the cell vectors:
Pm (0.750, 0.866, 0.045)
Pm (0.250, 0.134, 0.955)
Pm (0.250, 0.629, 0.456)
Pm (0.750, 0.371, 0.544)
Pm (0.750, 0.385, 0.205)
Pm (0.250, 0.615, 0.795)
Nd (0.250, 0.121, 0.292)
Nd (0.750, 0.879, 0.708)
Ho (0.250, 0.128, 0.628)
Ho (0.750, 0.872, 0.372)
Th (0.250, 0.622, 0.122)
Th (0.750, 0.378, 0.878)

Number 1: calculated volume 173.7 Å³/cell, final energy -7.90 eV per atom. Number 2: calculated volume 404.1 Å³/cell, final energy -5.14 eV per atom.